No. 1
A relaxed structure of Ba4SrBi3O12. Source: Alexandria via LeMat-Bulk, functional GGA-PBE.

Its total DFT energy (no corrections) is -5.926 eV per atom. As for the uncorrected formation energy: -1901 meV/atom. As for the crystal system: cubic. As for the calculated volume: 694 Å³ per cell.

The space group is Im-3m (No. 229) and the conventional cell measures 8.852, 8.852 and 8.852 Å, with angles of 90.00, 90.00 and 90.00 degrees. The inequivalent atoms are Ba at (0.250, 0.250, 0.250), Sr at (0.000, 0.000, 0.000), Bi at (0.000, 0.000, 0.500), O at (0.000, 0.000, 0.265) and O at (0.000, 0.250, 0.500).

***

No. 2
A relaxed structure of BaSr2BiO5. Source: Alexandria via LeMat-Bulk, functional GGA-PBE.

Its total DFT energy (no corrections) is -5.920 eV per atom. As for the uncorrected formation energy: -2147 meV/atom. As for the crystal system: orthorhombic. As for the calculated volume: 329 Å³ per cell.

The space group is Immm (No. 71) and the conventional cell measures 4.267, 6.262 and 12.314 Å, with angles of 90.00, 90.00 and 90.00 degrees. The inequivalent atoms are Ba at (0.000, 0.000, 0.000), Sr at (0.000, 0.500, 0.216), Bi at (0.000, 0.000, 0.500), O at (0.000, 0.246, 0.365) and O at (0.000, 0.500, 0.000).